(1)
DFT (PBE) results for MnZnS2 after structural relaxation.

```
data_MnZnS2
_cell_length_a 6.344
_cell_length_b 6.344
_cell_length_c 6.344
_cell_angle_alpha 130.68
_cell_angle_beta 130.68
_cell_angle_gamma 72.32
_symmetry_space_group_name_H-M 'P 1'
_symmetry_Int_Tables_number 1
loop_
_symmetry_equiv_pos_as_xyz
'x,y,z'
loop_
_atom_site_label
_atom_site_fract_x
_atom_site_fract_y
_atom_site_fract_z
_atom_site_occupancy
Mn1 0.000 0.000 0.000 1
Mn2 0.750 0.250 0.500 1
Zn1 0.250 0.750 0.500 1
Zn2 0.500 0.500 0.000 1
S1 0.094 0.625 0.969 1
S2 0.375 0.344 0.469 1
S3 0.656 0.125 0.031 1
S4 0.875 0.906 0.531 1
```

Computed properties:
DOS at the Fermi energy = 9.29 states/eV per cell
density = 4.27 g/cm3
formation energy without anion corrections = -0.325 eV/atom
space group = No. 122
energy = -4.9992 eV per atom

***

(2)
DFT (PBE) results for CuAg12Pd7 after structural relaxation.

```
data_CuAg12Pd7
_cell_length_a 7.104
_cell_length_b 7.104
_cell_length_c 7.104
_cell_angle_alpha 87.19
_cell_angle_beta 87.19
_cell_angle_gamma 87.19
_symmetry_space_group_name_H-M 'P 1'
_symmetry_Int_Tables_number 1
loop_
_symmetry_equiv_pos_as_xyz
'x,y,z'
loop_
_atom_site_label
_atom_site_fract_x
_atom_site_fract_y
_atom_site_fract_z
_atom_site_occupancy
Cu1 0.000 0.000 0.000 1
Ag1 0.136 0.628 0.522 1
Ag2 0.138 0.239 0.715 1
Ag3 0.239 0.715 0.138 1
Ag4 0.285 0.862 0.761 1
Ag5 0.372 0.478 0.864 1
Ag6 0.478 0.864 0.372 1
Ag7 0.522 0.136 0.628 1
Ag8 0.628 0.522 0.136 1
Ag9 0.715 0.138 0.239 1
Ag10 0.761 0.285 0.862 1
Ag11 0.862 0.761 0.285 1
Ag12 0.864 0.372 0.478 1
Pd1 0.045 0.358 0.123 1
Pd2 0.123 0.045 0.358 1
Pd3 0.358 0.123 0.045 1
Pd4 0.500 0.500 0.500 1
Pd5 0.642 0.877 0.955 1
Pd6 0.877 0.955 0.642 1
Pd7 0.955 0.642 0.877 1
```

Computed properties:
DOS at the Fermi energy = 6.59 states/eV per cell
density = 9.77 g/cm3
space group = No. 148
energy = -3.6290 eV per atom
energy of formation = 0.104 eV per atom

***

(3)
DFT (PBE) results for LiPm2NdSe5 after structural relaxation.

```
data_LiPm2NdSe5
_cell_length_a 8.951
_cell_length_b 8.951
_cell_length_c 12.559
_cell_angle_alpha 90.00
_cell_angle_beta 90.00
_cell_angle_gamma 153.09
_symmetry_space_group_name_H-M 'P 1'
_symmetry_Int_Tables_number 1
loop_
_symmetry_equiv_pos_as_xyz
'x,y,z'
loop_
_atom_site_label
_atom_site_fract_x
_atom_site_fract_y
_atom_site_fract_z
_atom_site_occupancy
Li1 0.012 0.988 0.500 1
Li2 0.988 0.012 0.000 1
Pm1 0.378 0.622 0.312 1
Pm2 0.391 0.609 0.701 1
Pm3 0.609 0.391 0.201 1
Pm4 0.622 0.378 0.812 1
Nd1 0.304 0.696 0.016 1
Nd2 0.696 0.304 0.516 1
Se1 0.002 0.998 0.302 1
Se2 0.136 0.864 0.015 1
Se3 0.191 0.809 0.351 1
Se4 0.211 0.789 0.682 1
Se5 0.457 0.543 0.092 1
Se6 0.543 0.457 0.592 1
Se7 0.789 0.211 0.182 1
Se8 0.809 0.191 0.851 1
Se9 0.864 0.136 0.515 1
Se10 0.998 0.002 0.802 1
```

Computed properties:
density = 6.10 g/cm3
formation energy without anion corrections = -1.722 eV/atom
space group = No. 36
energy = -5.4564 eV per atom

***

(4)
DFT (PBE) results for Ca2PuPaSb4 after structural relaxation.

```
data_Ca2PuPaSb4
_cell_length_a 7.708
_cell_length_b 4.500
_cell_length_c 7.767
_cell_angle_alpha 90.00
_cell_angle_beta 109.73
_cell_angle_gamma 90.00
_symmetry_space_group_name_H-M 'P 1'
_symmetry_Int_Tables_number 1
loop_
_symmetry_equiv_pos_as_xyz
'x,y,z'
loop_
_atom_site_label
_atom_site_fract_x
_atom_site_fract_y
_atom_site_fract_z
_atom_site_occupancy
Ca1 0.000 0.000 0.000 1
Ca2 0.000 0.500 0.500 1
Pu1 0.500 0.000 0.500 1
Pa1 0.500 0.500 0.000 1
Sb1 0.265 0.000 0.761 1
Sb2 0.265 0.500 0.249 1
Sb3 0.735 0.000 0.239 1
Sb4 0.735 0.500 0.751 1
```

Computed properties:
DOS at the Fermi energy = 16.62 states/eV per cell
density = 6.83 g/cm3
formation energy without anion corrections = -0.754 eV/atom
space group = No. 10
energy = -6.2945 eV per atom

***

(5)
DFT (PBE) results for SbMo2Pt after structural relaxation.

```
data_SbMo2Pt
_cell_length_a 3.455
_cell_length_b 3.455
_cell_length_c 5.824
_cell_angle_alpha 90.00
_cell_angle_beta 90.00
_cell_angle_gamma 90.00
_symmetry_space_group_name_H-M 'P 1'
_symmetry_Int_Tables_number 1
loop_
_symmetry_equiv_pos_as_xyz
'x,y,z'
loop_
_atom_site_label
_atom_site_fract_x
_atom_site_fract_y
_atom_site_fract_z
_atom_site_occupancy
Sb1 0.000 0.000 0.000 1
Mo1 0.000 0.000 0.497 1
Mo2 0.500 0.500 0.293 1
Pt1 0.500 0.500 0.766 1
```

Computed properties:
DOS at the Fermi energy = 3.11 states/eV per cell
density = 12.15 g/cm3
formation energy without anion corrections = 0.085 eV/atom
space group = No. 99
energy = -7.8711 eV per atom

***

(6)
DFT (PBE) results for AlPW after structural relaxation.

```
data_AlPW
_cell_length_a 3.035
_cell_length_b 3.035
_cell_length_c 5.836
_cell_angle_alpha 90.00
_cell_angle_beta 90.00
_cell_angle_gamma 120.00
_symmetry_space_group_name_H-M 'P 1'
_symmetry_Int_Tables_number 1
loop_
_symmetry_equiv_pos_as_xyz
'x,y,z'
loop_
_atom_site_label
_atom_site_fract_x
_atom_site_fract_y
_atom_site_fract_z
_atom_site_occupancy
Al1 0.000 0.000 0.000 1
P1 0.667 0.333 0.351 1
W1 0.333 0.667 0.637 1
```

Computed properties:
DOS at the Fermi energy = 1.22 states/eV per cell
density = 8.63 g/cm3
space group = No. 156
energy = -7.5393 eV per atom
energy of formation = -0.171 eV per atom

***

(7)
DFT (PBE) results for Ta2As2Au after structural relaxation.

```
data_Ta2As2Au
_cell_length_a 7.309
_cell_length_b 7.309
_cell_length_c 3.379
_cell_angle_alpha 90.00
_cell_angle_beta 90.00
_cell_angle_gamma 90.00
_symmetry_space_group_name_H-M 'P 1'
_symmetry_Int_Tables_number 1
loop_
_symmetry_equiv_pos_as_xyz
'x,y,z'
loop_
_atom_site_label
_atom_site_fract_x
_atom_site_fract_y
_atom_site_fract_z
_atom_site_occupancy
Ta1 0.142 0.358 0.000 1
Ta2 0.358 0.858 0.000 1
Ta3 0.642 0.142 0.000 1
Ta4 0.858 0.642 0.000 1
As1 0.148 0.648 0.500 1
As2 0.352 0.148 0.500 1
As3 0.648 0.852 0.500 1
As4 0.852 0.352 0.500 1
Au1 0.000 0.000 0.000 1
Au2 0.500 0.500 0.000 1
```

Computed properties:
DOS at the Fermi energy = 8.07 states/eV per cell
density = 13.04 g/cm3
space group = No. 127
E above lowest polymorph = 0.0 kJ per mole of atoms
energy = -7.4851 eV per atom
energy of formation = -0.229 eV per atom

***

(8)
DFT (PBE) results for Ba2TlGaS5 after structural relaxation.

```
data_Ba2TlGaS5
_cell_length_a 9.949
_cell_length_b 9.949
_cell_length_c 12.443
_cell_angle_alpha 90.00
_cell_angle_beta 90.00
_cell_angle_gamma 156.73
_symmetry_space_group_name_H-M 'P 1'
_symmetry_Int_Tables_number 1
loop_
_symmetry_equiv_pos_as_xyz
'x,y,z'
loop_
_atom_site_label
_atom_site_fract_x
_atom_site_fract_y
_atom_site_fract_z
_atom_site_occupancy
Ba1 0.115 0.885 0.500 1
Ba2 0.117 0.883 0.116 1
Ba3 0.883 0.117 0.616 1
Ba4 0.885 0.115 0.000 1
Tl1 0.225 0.775 0.841 1
Tl2 0.775 0.225 0.341 1
Ga1 0.439 0.561 0.263 1
Ga2 0.561 0.439 0.763 1
S1 0.041 0.959 0.863 1
S2 0.283 0.717 0.487 1
S3 0.325 0.675 0.204 1
S4 0.355 0.645 0.808 1
S5 0.494 0.506 0.102 1
S6 0.506 0.494 0.602 1
S7 0.645 0.355 0.308 1
S8 0.675 0.325 0.704 1
S9 0.717 0.283 0.987 1
S10 0.959 0.041 0.363 1
```

Computed properties:
density = 4.84 g/cm3
formation energy without anion corrections = -1.170 eV/atom
space group = No. 36
energy = -4.4894 eV per atom

***

(9)
DFT (PBE) results for TmGaCo after structural relaxation.

```
data_TmGaCo
_cell_length_a 7.287
_cell_length_b 7.287
_cell_length_c 7.287
_cell_angle_alpha 156.56
_cell_angle_beta 156.56
_cell_angle_gamma 33.39
_symmetry_space_group_name_H-M 'P 1'
_symmetry_Int_Tables_number 1
loop_
_symmetry_equiv_pos_as_xyz
'x,y,z'
loop_
_atom_site_label
_atom_site_fract_x
_atom_site_fract_y
_atom_site_fract_z
_atom_site_occupancy
Tm1 0.000 0.000 0.000 1
Ga1 0.655 0.655 0.000 1
Co1 0.822 0.822 0.000 1
```

Computed properties:
DOS at the Fermi energy = 2.55 states/eV per cell
density = 8.08 g/cm3
space group = No. 107
energy = -4.2464 eV per atom
energy of formation = 0.622 eV per atom

***

(10)
DFT (PBE) results for PmGdBeOs after structural relaxation.

```
data_PmGdBeOs
_cell_length_a 4.919
_cell_length_b 4.919
_cell_length_c 4.919
_cell_angle_alpha 60.00
_cell_angle_beta 60.00
_cell_angle_gamma 60.00
_symmetry_space_group_name_H-M 'P 1'
_symmetry_Int_Tables_number 1
loop_
_symmetry_equiv_pos_as_xyz
'x,y,z'
loop_
_atom_site_label
_atom_site_fract_x
_atom_site_fract_y
_atom_site_fract_z
_atom_site_occupancy
Pm1 0.000 0.000 0.000 1
Gd1 0.500 0.500 0.500 1
Be1 0.250 0.250 0.250 1
Os1 0.750 0.750 0.750 1
```

Computed properties:
DOS at the Fermi energy = 3.70 states/eV per cell
density = 9.89 g/cm3
space group = No. 216
energy = -8.3928 eV per atom
energy of formation = 0.054 eV per atom

***

(11)
DFT (PBE) results for FeCu2Bi2 after structural relaxation.

```
data_FeCu2Bi2
_cell_length_a 6.970
_cell_length_b 6.970
_cell_length_c 4.010
_cell_angle_alpha 90.00
_cell_angle_beta 90.00
_cell_angle_gamma 90.00
_symmetry_space_group_name_H-M 'P 1'
_symmetry_Int_Tables_number 1
loop_
_symmetry_equiv_pos_as_xyz
'x,y,z'
loop_
_atom_site_label
_atom_site_fract_x
_atom_site_fract_y
_atom_site_fract_z
_atom_site_occupancy
Fe1 0.000 0.000 0.000 1
Fe2 0.500 0.500 0.000 1
Cu1 0.129 0.371 0.000 1
Cu2 0.371 0.871 0.000 1
Cu3 0.629 0.129 0.000 1
Cu4 0.871 0.629 0.000 1
Bi1 0.177 0.677 0.500 1
Bi2 0.323 0.177 0.500 1
Bi3 0.677 0.823 0.500 1
Bi4 0.823 0.323 0.500 1
```

Computed properties:
DOS at the Fermi energy = 11.14 states/eV per cell
density = 10.25 g/cm3
space group = No. 127
E above lowest polymorph = 0.0 kJ per mole of atoms
energy = -4.4584 eV per atom
energy of formation = 0.425 eV per atom

***

(12)
DFT (PBE) results for La2ZnFeH after structural relaxation.

```
data_La2ZnFeH
_cell_length_a 5.202
_cell_length_b 5.202
_cell_length_c 3.688
_cell_angle_alpha 90.00
_cell_angle_beta 90.00
_cell_angle_gamma 90.00
_symmetry_space_group_name_H-M 'P 1'
_symmetry_Int_Tables_number 1
loop_
_symmetry_equiv_pos_as_xyz
'x,y,z'
loop_
_atom_site_label
_atom_site_fract_x
_atom_site_fract_y
_atom_site_fract_z
_atom_site_occupancy
La1 0.000 0.500 0.000 1
La2 0.500 0.000 0.000 1
Zn1 0.000 0.000 0.500 1
Fe1 0.500 0.500 0.500 1
H1 0.500 0.500 0.000 1
```

Computed properties:
DOS at the Fermi energy = 5.08 states/eV per cell
density = 6.66 g/cm3
space group = No. 123
energy = -4.7278 eV per atom